Material: Cd2PPt
Method: DFT, PBE
State: optimized geometry

Cell and atoms, written as CIF:
```
data_Cd2PPt
_cell_length_a 12.232
_cell_length_b 2.958
_cell_length_c 4.697
_cell_angle_alpha 90.00
_cell_angle_beta 111.78
_cell_angle_gamma 90.00
_space_group_name_H-M_alt 'C 1 m 1'
_space_group_IT_number 8
_space_group_name_Hall 'C -2y'
loop_
_atom_site_label
_atom_site_type_symbol
_atom_site_fract_x
_atom_site_fract_y
_atom_site_fract_z
_atom_site_occupancy
Cd1 Cd 0.000 0.000 0.000 1
Cd2 Cd 0.185 0.000 0.680 1
P1 P 0.288 0.500 0.282 1
Pt1 Pt 0.454 0.000 0.456 1
```

Computed properties:
Formation energy from the elements in eV per atom: -0.12
Fermi-level density of states in states/eV/f.u.: 1.96

=====

Material: Cd2P2Pt7
Method: DFT, PBE
State: optimized geometry

Cell and atoms, written as CIF:
```
data_Cd2P2Pt7
_cell_length_a 3.949
_cell_length_b 8.614
_cell_length_c 11.991
_cell_angle_alpha 90.00
_cell_angle_beta 90.00
_cell_angle_gamma 90.00
_space_group_name_H-M_alt 'I m m m'
_space_group_IT_number 71
_space_group_name_Hall '-I 2 2'
loop_
_atom_site_label
_atom_site_type_symbol
_atom_site_fract_x
_atom_site_fract_y
_atom_site_fract_z
_atom_site_occupancy
Cd1 Cd 0.000 0.000 0.202 1
P1 P 0.000 0.170 0.500 1
Pt1 Pt 0.000 0.173 0.000 1
Pt2 Pt 0.000 0.272 0.326 1
Pt3 Pt 0.000 0.500 0.000 1
```

Computed properties:
Formation energy from the elements in eV per atom: -0.24
Fermi-level density of states in states/eV/f.u.: 3.61

=====

Material: Cd2PPt
Method: DFT, PBE
State: optimized geometry

Cell and atoms, written as CIF:
```
data_Cd2PPt
_cell_length_a 4.137
_cell_length_b 4.137
_cell_length_c 8.406
_cell_angle_alpha 90.00
_cell_angle_beta 90.00
_cell_angle_gamma 90.00
_space_group_name_H-M_alt 'I 4/m m m'
_space_group_IT_number 139
_space_group_name_Hall '-I 4 2'
loop_
_atom_site_label
_atom_site_type_symbol
_atom_site_fract_x
_atom_site_fract_y
_atom_site_fract_z
_atom_site_occupancy
Cd1 Cd 0.000 0.500 0.250 1
P1 P 0.000 0.000 0.000 1
Pt1 Pt 0.000 0.000 0.500 1
```

Computed properties:
Formation energy from the elements in eV per atom: 0.06
Fermi-level density of states in states/eV/f.u.: 1.50

=====

Material: CdPPt
Method: DFT, PBE
State: optimized geometry

Cell and atoms, written as CIF:
```
data_CdPPt
_cell_length_a 2.902
_cell_length_b 3.472
_cell_length_c 5.785
_cell_angle_alpha 90.00
_cell_angle_beta 90.00
_cell_angle_gamma 90.00
_space_group_name_H-M_alt 'P m m 2'
_space_group_IT_number 25
_space_group_name_Hall 'P 2 -2'
loop_
_atom_site_label
_atom_site_type_symbol
_atom_site_fract_x
_atom_site_fract_y
_atom_site_fract_z
_atom_site_occupancy
Cd1 Cd 0.000 0.000 0.000 1
P1 P 0.500 0.000 0.578 1
Pt1 Pt 0.500 0.500 0.322 1
```

Computed properties:
Formation energy from the elements in eV per atom: -0.12
Fermi-level density of states in states/eV/f.u.: 1.07